[1]
A plane-wave DFT calculation with GGA-PBE was carried out for Pm3NdNi8 after structural relaxation.

Computed properties:
Density in kg/m³: 8987
Energy relative to the elements in eV/atom: -0.334
DOS at the Fermi energy in states/eV per atom: 0.70

a b c (Å): 8.941 8.941 8.941
angles (deg): 33.49 33.49 33.49
Sites, in units of the cell vectors:
1 Pm 0.000 0.000 0.000
2 Pm 0.125 0.125 0.125
3 Pm 0.625 0.625 0.625
4 Nd 0.500 0.500 0.500
5 Ni 0.062 0.562 0.562
6 Ni 0.063 0.063 0.563
7 Ni 0.063 0.563 0.063
8 Ni 0.313 0.313 0.313
9 Ni 0.562 0.062 0.562
10 Ni 0.562 0.562 0.062
11 Ni 0.563 0.063 0.063
12 Ni 0.812 0.812 0.812

---

[2]
A plane-wave DFT calculation with GGA-PBE was carried out for PmNdNiPt after structural relaxation.

Computed properties:
E above lowest polymorph in meV/atom: 0
Density in kg/m³: 9729
Energy relative to the elements in eV/atom: -0.751
DOS at the Fermi energy in states/eV per atom: 0.65

a b c (Å): 4.425 3.942 10.627
angles (deg): 90.00 90.00 90.00
Sites, in units of the cell vectors:
1 Pm 0.000 0.000 0.000
2 Pm 0.000 0.500 0.500
3 Nd 0.500 0.000 0.722
4 Nd 0.500 0.500 0.222
5 Ni 0.500 0.000 0.441
6 Ni 0.500 0.500 0.941
7 Pt 0.000 0.000 0.285
8 Pt 0.000 0.500 0.785

---

[3]
A plane-wave DFT calculation with GGA-PBE was carried out for PmNdNiPt after structural relaxation.

Computed properties:
E above lowest polymorph in meV/atom: 105
Density in kg/m³: 10053
Energy relative to the elements in eV/atom: -0.646
DOS at the Fermi energy in states/eV per atom: 1.11

a b c (Å): 7.106 7.106 7.106
angles (deg): 90.00 90.00 90.00
Sites, in units of the cell vectors:
1 Pm 0.000 0.000 0.000
2 Pm 0.000 0.500 0.500
3 Pm 0.500 0.000 0.500
4 Pm 0.500 0.500 0.000
5 Nd 0.000 0.000 0.500
6 Nd 0.000 0.500 0.000
7 Nd 0.500 0.000 0.000
8 Nd 0.500 0.500 0.500
9 Ni 0.250 0.250 0.250
10 Ni 0.250 0.750 0.750
11 Ni 0.750 0.250 0.750
12 Ni 0.750 0.750 0.250
13 Pt 0.250 0.250 0.750
14 Pt 0.250 0.750 0.250
15 Pt 0.750 0.250 0.250
16 Pt 0.750 0.750 0.750

---

[4]
A plane-wave DFT calculation with GGA-PBE was carried out for PmNdSiNi after structural relaxation.

Computed properties:
Formation energy without anion corrections in eV/atom: -0.546
E above lowest polymorph in meV/atom: 0
Density in kg/m³: 6769
DOS at the Fermi energy in states/eV per atom: 0.97

a b c (Å): 4.146 4.264 10.436
angles (deg): 90.00 90.00 90.00
Sites, in units of the cell vectors:
1 Pm 0.000 0.000 0.000
2 Pm 0.000 0.500 0.500
3 Nd 0.500 0.000 0.715
4 Nd 0.500 0.500 0.215
5 Si 0.000 0.000 0.298
6 Si 0.000 0.500 0.798
7 Ni 0.500 0.000 0.418
8 Ni 0.500 0.500 0.918

---

[5]
A plane-wave DFT calculation with GGA-PBE was carried out for PmNdSiNi after structural relaxation.

Computed properties:
Formation energy without anion corrections in eV/atom: -0.358
E above lowest polymorph in meV/atom: 188
Density in kg/m³: 6843
DOS at the Fermi energy in states/eV per atom: 0.53

a b c (Å): 7.147 7.147 7.147
angles (deg): 90.00 90.00 90.00
Sites, in units of the cell vectors:
1 Pm 0.000 0.000 0.000
2 Pm 0.000 0.500 0.500
3 Pm 0.500 0.000 0.500
4 Pm 0.500 0.500 0.000
5 Nd 0.000 0.000 0.500
6 Nd 0.000 0.500 0.000
7 Nd 0.500 0.000 0.000
8 Nd 0.500 0.500 0.500
9 Si 0.250 0.250 0.250
10 Si 0.250 0.750 0.750
11 Si 0.750 0.250 0.750
12 Si 0.750 0.750 0.250
13 Ni 0.250 0.250 0.750
14 Ni 0.250 0.750 0.250
15 Ni 0.750 0.250 0.250
16 Ni 0.750 0.750 0.750

---

[6]
A plane-wave DFT calculation with GGA-PBE was carried out for Pm2NdSi2Ni2 after structural relaxation.

Computed properties:
Formation energy without anion corrections in eV/atom: -0.608
Density in kg/m³: 6198
DOS at the Fermi energy in states/eV per atom: 0.94

a b c (Å): 11.612 11.612 11.612
angles (deg): 20.17 20.17 20.17
Sites, in units of the cell vectors:
1 Pm 0.115 0.115 0.115
2 Pm 0.885 0.885 0.885
3 Nd 0.000 0.000 0.000
4 Si 0.272 0.272 0.272
5 Si 0.728 0.728 0.728
6 Ni 0.395 0.395 0.395
7 Ni 0.605 0.605 0.605